No. 1
First-principles (PBE-GGA) data for a relaxed structure of HgHPd2Cl, as listed in the Alexandria database.

Properties
Its total energy is -2.06 eV per atom. Its density is 5.10 g/cm³. The magnetization is 0.91 μB per cell.

a = 5.2609 Å, b = 5.2609 Å, c = 5.2876 Å
α = 90.00°, β = 90.00°, γ = 90.00°
Space group P4/mmm (No. 123)
Asymmetric unit:
Hg  0.0000  0.0000  0.0000 x1
H  0.5000  0.5000  0.5000 x1
Pd  0.0000  0.5000  0.0000 x2
Cl  0.0000  0.0000  0.5000 x1

***

No. 2
First-principles (PBE-GGA) data for a relaxed structure of Ac4Pb2SeS, as listed in the Alexandria database.

Properties
The calculation puts the formation energy without anion corrections at -1187 meV per atom. Its density is 8.35 g/cm³. The magnetization is 0.00 μB per cell.

a = 7.9680 Å, b = 4.6771 Å, c = 8.1283 Å
α = 90.00°, β = 109.78°, γ = 90.00°
Space group P2/m (No. 10)
Asymmetric unit:
Ac  0.2349  0.0000  0.2406 x2
Ac  0.2378  0.5000  0.7502 x2
Pb  0.5000  0.0000  0.0000 x1
Pb  0.5000  0.5000  0.5000 x1
Se  0.0000  0.0000  0.5000 x1
S  0.0000  0.5000  0.0000 x1

***

No. 3
First-principles (PBE-GGA) data for a relaxed structure of BaZrIn2, as listed in the Alexandria database.

Properties
Its density is 6.57 g/cm³. The magnetization is 0.02 μB per cell. For the formation energy, the calculation gives 54.5 meV/atom. The polymorph energy (0 for the lowest one) is 301 meV per atom.

a = 12.1450 Å, b = 3.2543 Å, c = 6.0706 Å
α = 90.00°, β = 105.24°, γ = 90.00°
Space group Cm (No. 8)
Asymmetric unit:
Ba  0.0000  0.0000  0.0000 x2
Zr  0.2084  0.0000  0.6209 x2
In  0.2564  0.5000  0.1820 x2
In  0.4635  0.0000  0.4985 x2

***

No. 4
First-principles (PBE-GGA) data for a relaxed structure of Dy3SiGe2, as listed in the Alexandria database.

Properties
The calculation puts the formation energy without anion corrections at -748 meV per atom. Its density is 8.02 g/cm³. The magnetization is 0.00 μB per cell.

a = 11.5429 Å, b = 4.1045 Å, c = 11.5462 Å
α = 90.00°, β = 90.00°, γ = 90.00°
Space group Pnma (No. 62)
Asymmetric unit:
Dy  0.0587  0.2500  0.1222 x4
Dy  0.1174  0.7500  0.5561 x4
Dy  0.2115  0.2500  0.7938 x4
Si  0.1306  0.2500  0.3719 x4
Ge  0.0165  0.7500  0.3055 x4
Ge  0.1903  0.7500  0.9970 x4

***

No. 5
First-principles (PBE-GGA) data for a relaxed structure of Rb2CaFe, as listed in the Alexandria database.

Properties
Its density is 1.64 g/cm³. The magnetization is 7.98 μB per cell. For the formation energy, the calculation gives 1465.7 meV/atom. The polymorph energy (0 for the lowest one) is 489 meV per atom.

a = 8.9873 Å, b = 8.9873 Å, c = 13.3566 Å
α = 90.00°, β = 90.00°, γ = 90.00°
Space group I-42d (No. 122)
Asymmetric unit:
Rb  0.0059  0.2500  0.1250 x8
Ca  0.0000  0.0000  0.5000 x4
Fe  0.0000  0.0000  0.0000 x4

***

No. 6
First-principles (PBE-GGA) data for a relaxed structure of YTlIn2, as listed in the Alexandria database.

Properties
Its density is 8.30 g/cm³. The magnetization is 0.00 μB per cell. For the formation energy, the calculation gives -300.6 meV/atom.

a = 4.5522 Å, b = 4.5522 Å, c = 10.1002 Å
α = 90.00°, β = 90.00°, γ = 90.00°
Space group I4/mmm (No. 139)
Asymmetric unit:
Y  0.0000  0.0000  0.0000 x2
Tl  0.0000  0.0000  0.5000 x2
In  0.0000  0.5000  0.2500 x4

***

No. 7
First-principles (PBE-GGA) data for a relaxed structure of Tc2IrSe, as listed in the Alexandria database.

Properties
The calculation puts the formation energy without anion corrections at 549 meV per atom. Its density is 12.73 g/cm³. The magnetization is 0.01 μB per cell.

a = 3.7663 Å, b = 3.7663 Å, c = 4.2968 Å
α = 90.00°, β = 90.00°, γ = 90.00°
Space group P4/mmm (No. 123)
Asymmetric unit:
Tc  0.0000  0.5000  0.0000 x2
Ir  0.0000  0.0000  0.5000 x1
Se  0.5000  0.5000  0.5000 x1

***

No. 8
First-principles (PBE-GGA) data for a relaxed structure of Be2IrRu, as listed in the Alexandria database.

Properties
Its density is 11.84 g/cm³. The magnetization is 0.00 μB per cell. For the formation energy, the calculation gives -393.2 meV/atom.

a = 5.5903 Å, b = 5.5903 Å, c = 5.5903 Å
α = 90.00°, β = 90.00°, γ = 90.00°
Space group Fm-3m (No. 225)
Asymmetric unit:
Be  0.2500  0.2500  0.2500 x8
Ir  0.0000  0.0000  0.0000 x4
Ru  0.0000  0.0000  0.5000 x4